HfZr3Sc6: relaxed, GGA-PBE.

The value obtained for the offset from the most stable computed form is 0.117 eV/atom. The value obtained for the calculated volume is 23.92 A^3/atom. For the formation energy, the calculation gives 139.0 meV per atom. The value obtained for the total energy is -7.220 eV/atom.

The space group is Cmc2_1 (No. 36) and the conventional cell measures 9.866, 16.833 and 5.762 Å, with angles of 90.00, 90.00 and 90.00 degrees. The distinct sites, in fractional coordinates, are Hf at (0.000, 0.199, 0.000), Zr at (0.000, 0.382, 0.917), Zr at (0.180, 0.117, 0.323), Sc at (0.000, 0.040, 0.730), Sc at (0.000, 0.258, 0.514), Sc at (0.166, 0.462, 0.420) and Sc at (0.235, 0.295, 0.247).